(1)
Here is a relaxed structure of K2LaScAu from Alexandria via LeMat-Bulk. Energies are from PBE-GGA.

Cell lengths 6.0773, 6.0773, 5.9113 Å; angles 90.00, 90.00, 90.00 degrees
Space group P4/mmm (No. 123)
Inequivalent atoms, fractional coordinates:
1 K 0.0000 0.5000 0.0000 x2
2 La 0.0000 0.0000 0.5000 x1
3 Sc 0.5000 0.5000 0.5000 x1
4 Au 0.0000 0.0000 0.0000 x1

Results
Magnetic moment, Bohr magnetons per cell: 1.51
Calculated volume, Å³/atom: 43.67
Calculated formation energy, eV per atom: 0.445
D(E_F), states/eV/f.u.: 7.954


(2)
Here is a relaxed structure of Cs2ErGaS4 from Alexandria via LeMat-Bulk. Energies are from PBE-GGA.

Cell lengths 6.1577, 14.6596, 25.9633 Å; angles 90.00, 90.00, 90.00 degrees
Space group Fddd (No. 70, origin choice 2)
Inequivalent atoms, fractional coordinates:
1 Cs 0.1250 0.1250 0.3034 x16
2 Er 0.1250 0.1250 0.1250 x8
3 Ga 0.1250 0.1250 0.6250 x8
4 S 0.0964 0.2815 0.8249 x32

Results
Magnetic moment, Bohr magnetons per cell: 0.00
Calculated volume, Å³/atom: 36.62
Formation energy (no corrections), eV/atom: -1.335
D(E_F), states/eV/f.u.: 0.000


(3)
Here is a relaxed structure of ZnCd2PdPb from Alexandria via LeMat-Bulk. Energies are from PBE-GGA.

Cell lengths 5.0011, 5.0011, 4.8456 Å; angles 90.00, 90.00, 90.00 degrees
Space group P4/mmm (No. 123)
Inequivalent atoms, fractional coordinates:
1 Zn 0.0000 0.0000 0.0000 x1
2 Cd 0.0000 0.5000 0.0000 x2
3 Pd 0.0000 0.0000 0.5000 x1
4 Pb 0.5000 0.5000 0.5000 x1

Results
Magnetic moment, Bohr magnetons per cell: 0.00
Calculated volume, Å³/atom: 24.24
Energy above the most stable polymorph in this dataset, eV/f.u.: 0.000
Calculated formation energy, eV per atom: 0.202
D(E_F), states/eV/f.u.: 1.916


(4)
Here is a relaxed structure of AsRu2Se from Alexandria via LeMat-Bulk. Energies are from PBE-GGA.

Cell lengths 6.3271, 6.3271, 6.3271 Å; angles 90.00, 90.00, 90.00 degrees
Space group F-43m (No. 216)
Inequivalent atoms, fractional coordinates:
1 As 0.0000 0.0000 0.0000 x4
2 Ru 0.0000 0.0000 0.5000 x4
3 Ru 0.2500 0.2500 0.7500 x4
4 Se 0.2500 0.2500 0.2500 x4

Results
Magnetic moment, Bohr magnetons per cell: 0.00
Calculated volume, Å³/atom: 15.83
Energy above the most stable polymorph in this dataset, eV/f.u.: 2.755
Formation energy (no corrections), eV/atom: 0.643
D(E_F), states/eV/f.u.: 4.203


(5)
Here is a relaxed structure of MnRu2Br from Alexandria via LeMat-Bulk. Energies are from PBE-GGA.

Cell lengths 2.8898, 4.8713, 8.9528 Å; angles 90.00, 90.00, 90.00 degrees
Space group Cmmm (No. 65)
Inequivalent atoms, fractional coordinates:
1 Mn 0.0000 0.0000 0.0000 x2
2 Ru 0.0000 0.5000 0.2260 x4
3 Br 0.0000 0.0000 0.5000 x2

Results
Magnetic moment, Bohr magnetons per cell: 6.15
Calculated volume, Å³/atom: 15.75
Energy above the most stable polymorph in this dataset, eV/f.u.: 1.361
Formation energy (no corrections), eV/atom: 0.753
D(E_F), states/eV/f.u.: 6.443


(6)
Here is a relaxed structure of CeHoMnGa from Alexandria via LeMat-Bulk. Energies are from PBE-GGA.

Cell lengths 7.1249, 7.1249, 7.1249 Å; angles 90.00, 90.00, 90.00 degrees
Space group F-43m (No. 216)
Inequivalent atoms, fractional coordinates:
1 Ce 0.0000 0.0000 0.0000 x4
2 Ho 0.0000 0.0000 0.5000 x4
3 Mn 0.2500 0.2500 0.2500 x4
4 Ga 0.2500 0.2500 0.7500 x4

Results
Magnetic moment, Bohr magnetons per cell: 9.55
Calculated volume, Å³/atom: 22.61
Calculated formation energy, eV per atom: -0.126
D(E_F), states/eV/f.u.: 5.664


(7)
Here is a relaxed structure of SrAl2As from Alexandria via LeMat-Bulk. Energies are from PBE-GGA.

Cell lengths 7.2074, 7.2074, 7.2074 Å; angles 90.00, 90.00, 90.00 degrees
Space group F-43m (No. 216)
Inequivalent atoms, fractional coordinates:
1 Sr 0.0000 0.0000 0.0000 x4
2 Al 0.0000 0.0000 0.5000 x4
3 Al 0.2500 0.2500 0.2500 x4
4 As 0.2500 0.2500 0.7500 x4

Results
Magnetic moment, Bohr magnetons per cell: 0.00
Calculated volume, Å³/atom: 23.40
Calculated formation energy, eV per atom: -0.032
D(E_F), states/eV/f.u.: 2.904


(8)
Here is a relaxed structure of SrMgGa2Pt from Alexandria via LeMat-Bulk. Energies are from PBE-GGA.

Cell lengths 12.1405, 4.4034, 4.4055 Å; angles 90.00, 111.12, 90.00 degrees
Space group Cm (No. 8)
Inequivalent atoms, fractional coordinates:
1 Sr 0.0000 0.0000 0.0000 x2
2 Mg 0.2451 0.0000 0.7456 x2
3 Ga 0.2420 0.5000 0.2412 x2
4 Ga 0.3935 0.0000 0.3930 x2
5 Pt 0.1160 0.5000 0.6164 x2

Results
Magnetic moment, Bohr magnetons per cell: 0.00
Calculated volume, Å³/atom: 21.97
Energy above the most stable polymorph in this dataset, eV/f.u.: 0.000
Calculated formation energy, eV per atom: -0.641
D(E_F), states/eV/f.u.: 3.246


Question: What is the calculated volume in the sixth record?
Answer: 22.61 Å³/atom